DFT (PBE) results for an optimized crystal structure of TaNb2MoC.

The calculation puts the density of states at the Fermi level at 0.471 states/eV/atom. As for the total DFT energy (no corrections): -52.3 eV for the cell shown.

The space group is P4/mmm (No. 123) and the conventional cell measures 4.4694, 4.4694 and 3.9820 Å, with angles of 90.00, 90.00 and 90.00 degrees. The asymmetric unit holds Ta at (0.0000, 0.0000, 0.0000), Nb at (0.0000, 0.5000, 0.5000), Mo at (0.5000, 0.5000, 0.0000) and C at (0.5000, 0.5000, 0.5000).